# AgBi3H (GGA-PBE, optimized geometry)
# SG = Pm-3m, No. 221
# Distance to the lowest polymorph of the same formula = 0 meV/atom
data_AgBi3H
_chemical_formula_sum 'Ag1 Bi3 H1'
_symmetry_space_group_name_H-M 'P 1'
_symmetry_Int_Tables_number 1
_symmetry_space_group_name_Hall 'P 1'
_cell_length_a 4.925
_cell_length_b 4.925
_cell_length_c 4.925
_cell_angle_alpha 90.00
_cell_angle_beta 90.00
_cell_angle_gamma 90.00
loop_
_atom_site_label
_atom_site_type_symbol
_atom_site_fract_x
_atom_site_fract_y
_atom_site_fract_z
H1 H 0.000 0.000 0.000
Bi1 Bi 0.000 0.500 0.000
Bi2 Bi 0.000 0.000 0.500
Bi3 Bi 0.500 0.000 0.000
Ag1 Ag 0.500 0.500 0.500